1.
## BaYCuTe3 (GGA-PBE)

Data for a relaxed BaYCuTe3 crystal.

Cell lengths 8.9405, 4.4368, 10.4244 Å; angles 90.00, 106.01, 90.00 degrees
With the nearest neighbours (Å) after each atom.
Atoms (fractional coordinates):
Ba: 0.2775 0.7500 0.2170  6 Te 3.47-3.48, 1 Cu 3.79
Ba: 0.7225 0.2500 0.7830  6 Te 3.47-3.48, 1 Cu 3.79
Cu: 0.5779 0.2500 0.0922  4 Te 2.69-2.73
Cu: 0.4221 0.7500 0.9078  4 Te 2.69-2.73
Te: 0.7293 0.7500 0.0410  3 Cu 2.71-2.73, 1 Y 3.03
Te: 0.0576 0.2500 0.3480  3 Y 3.11
Te: 0.5790 0.2500 0.3503  1 Cu 2.69
Te: 0.4210 0.7500 0.6497  1 Cu 2.69
Te: 0.9424 0.7500 0.6520  3 Y 3.11
Te: 0.2707 0.2500 0.9590  3 Cu 2.71-2.73, 1 Y 3.03
Y: 0.8125 0.7500 0.3429  6 Te 3.03-3.11
Y: 0.1875 0.2500 0.6571  6 Te 3.03-3.11

Output
Volume = 33.1 Å³/atom
VASP energy = -4.818 eV per atom
Total magnetic moment = 0.0 μB/f.u.

2.
## TbLuGa2Fe4 (GGA-PBE)

Data for a relaxed TbLuGa2Fe4 crystal.

Cell lengths 3.9366, 4.9295, 6.7973 Å; angles 90.00, 90.00, 90.00 degrees
With the nearest neighbours (Å) after each atom.
Atoms (fractional coordinates):
Fe: 0.5000 0.5000 0.4063  4 Fe 2.41, 2 Ga 2.56
Fe: 0.0000 0.2513 0.5016  6 Fe 2.41-2.48, 2 Ga 2.57-2.59
Fe: 0.0000 0.7487 0.5016  6 Fe 2.41-2.48, 2 Ga 2.57-2.59
Fe: 0.5000 0.0000 0.5977  4 Fe 2.42, 2 Ga 2.54
Ga: 0.0000 0.5000 0.1653  4 Fe 2.56-2.59
Ga: 0.0000 0.0000 0.8331  4 Fe 2.54-2.57
Lu: 0.5000 0.5000 0.8108  3 Fe 2.75-2.86
Tb: 0.5000 0.0000 0.1838  3 Fe 2.81-2.89, 2 Ga 3.09

Output
Volume = 16.5 Å³/atom
VASP energy = -6.392 eV per atom
Total magnetic moment = 7.3 μB/f.u.

3.
## Zr8Ge2C3N3 (GGA-PBE)

Data for a relaxed Zr8Ge2C3N3 crystal.

Cell lengths 3.3100, 3.3100, 24.4160 Å; angles 90.00, 90.00, 120.00 degrees
With the nearest neighbours (Å) after each atom.
Atoms (fractional coordinates):
C: 0.0000 0.0000 0.0000  6 Zr 2.33
C: 0.6667 0.3333 0.1136  6 Zr 2.26-2.40
C: 0.3333 0.6667 0.8864  6 Zr 2.26-2.40
Ge: 0.3333 0.6667 0.2514  6 Zr 2.88-2.89
Ge: 0.6667 0.3333 0.7486  6 Zr 2.88-2.89
N: 0.6667 0.3333 0.3918  6 Zr 2.29-2.30
N: 0.0000 0.0000 0.5000  6 Zr 2.34
N: 0.3333 0.6667 0.6082  6 Zr 2.29-2.30
Zr: 0.3333 0.6667 0.0544  6 C 2.33-2.40
Zr: 0.0000 0.0000 0.1632  3 C 2.26
Zr: 0.0000 0.0000 0.3403  3 N 2.29
Zr: 0.3333 0.6667 0.4444  6 N 2.30-2.34
Zr: 0.6667 0.3333 0.5556  6 N 2.30-2.34
Zr: 0.0000 0.0000 0.6597  3 N 2.29
Zr: 0.0000 0.0000 0.8368  3 C 2.26
Zr: 0.6667 0.3333 0.9456  6 C 2.33-2.40

Output
Volume = 14.5 Å³/atom
VASP energy = -9.264 eV per atom
Total magnetic moment = 0.0 μB/f.u.